Record 1
Entry from Alexandria via LeMat-Bulk: a geometry-optimized NbPdAu2 structure (GGA-PBE).

a b c (Å): 4.602 4.602 4.602
angles (deg): 60.00 60.00 60.00
Positions (direct):
Nb  0.000  0.000  0.000
Pd  0.500  0.500  0.500
Au  0.250  0.250  0.250
Au  0.750  0.750  0.750

Summary:
Its formation energy is -0.12 eV per atom. The energy above the lowest structure with this stoichiometry is 24 meV per atom. As for the size of the total moment: 0.000 Bohr magnetons per cell. Its calculated density is 14.3 g/cm³. The total energy comes out at -22.281 eV/cell.

---

Record 2
Entry from Alexandria via LeMat-Bulk: a geometry-optimized Pr6Y2Mg structure (GGA-PBE).

a b c (Å): 10.901 10.901 5.166
angles (deg): 90.00 90.00 90.00
Positions (direct):
Pr  0.001  0.332  0.000
Pr  0.165  0.165  0.500
Pr  0.168  0.501  0.500
Pr  0.332  0.001  0.000
Pr  0.335  0.665  0.000
Pr  0.499  0.832  0.500
Pr  0.501  0.168  0.500
Pr  0.665  0.335  0.000
Pr  0.668  0.999  0.000
Pr  0.832  0.499  0.500
Pr  0.835  0.835  0.500
Pr  0.999  0.668  0.000
Y  0.165  0.835  0.500
Y  0.335  0.335  0.000
Y  0.665  0.665  0.000
Y  0.835  0.165  0.500
Mg  0.000  0.000  0.000
Mg  0.500  0.500  0.500

Summary:
Its formation energy is 0.02 eV per atom. The energy above the lowest structure with this stoichiometry is 0 meV per atom. As for the size of the total moment: 0.000 Bohr magnetons per cell. Its calculated density is 5.7 g/cm³. The total energy comes out at -86.005 eV/cell.

---

Record 3
Entry from Alexandria via LeMat-Bulk: a geometry-optimized Pm4In2Os structure (GGA-PBE).

a b c (Å): 8.694 8.694 8.694
angles (deg): 143.19 143.19 53.04
Positions (direct):
Pm  0.000  0.500  0.500
Pm  0.177  0.177  0.000
Pm  0.500  0.000  0.500
Pm  0.823  0.823  0.000
In  0.379  0.379  0.000
In  0.621  0.621  0.000
Os  0.000  0.000  0.000

Summary:
Its formation energy is -0.08 eV per atom. As for the size of the total moment: 0.000 Bohr magnetons per cell. Its calculated density is 7.1 g/cm³. The total energy comes out at -36.256 eV/cell.

---

Record 4
Entry from Alexandria via LeMat-Bulk: a geometry-optimized Sc4H2Pb5 structure (GGA-PBE).

a b c (Å): 9.302 9.302 8.921
angles (deg): 117.07 117.07 21.54
Positions (direct):
Sc  0.005  0.005  0.194
Sc  0.348  0.348  0.836
Sc  0.652  0.652  0.164
Sc  0.995  0.995  0.806
H  0.455  0.455  0.836
H  0.545  0.545  0.164
Pb  0.173  0.173  0.866
Pb  0.176  0.176  0.498
Pb  0.500  0.500  0.500
Pb  0.824  0.824  0.502
Pb  0.827  0.827  0.134

Summary:
As for the size of the total moment: 0.000 Bohr magnetons per cell. Its calculated density is 8.1 g/cm³. The total energy comes out at -52.984 eV/cell.

---

Record 5
Entry from Alexandria via LeMat-Bulk: a geometry-optimized Sm4SnC structure (GGA-PBE).

a b c (Å): 8.659 8.659 6.126
angles (deg): 104.40 104.40 46.44
Positions (direct):
Sm  0.132  0.649  0.410
Sm  0.198  0.198  0.185
Sm  0.250  0.750  0.000
Sm  0.351  0.868  0.590
Sm  0.649  0.132  0.410
Sm  0.750  0.250  0.000
Sm  0.802  0.802  0.815
Sm  0.868  0.351  0.590
Sn  0.306  0.306  0.776
Sn  0.694  0.694  0.224
C  0.057  0.057  0.300
C  0.943  0.943  0.700

Summary:
Its formation energy is -0.24 eV per atom. As for the size of the total moment: 0.001 Bohr magnetons per cell. Its calculated density is 7.6 g/cm³. The total energy comes out at -67.083 eV/cell.

---

Record 6
Entry from Alexandria via LeMat-Bulk: a geometry-optimized Ac8TcRh3Br4 structure (GGA-PBE).

a b c (Å): 9.706 9.706 9.706
angles (deg): 52.83 52.83 52.83
Positions (direct):
Ac  0.231  0.231  0.231
Ac  0.237  0.730  0.730
Ac  0.270  0.270  0.763
Ac  0.270  0.763  0.270
Ac  0.730  0.237  0.730
Ac  0.730  0.730  0.237
Ac  0.763  0.270  0.270
Ac  0.769  0.769  0.769
Tc  0.500  0.500  0.500
Rh  0.000  0.000  0.500
Rh  0.000  0.500  0.000
Rh  0.500  0.000  0.000
Br  0.000  0.000  0.000
Br  0.000  0.500  0.500
Br  0.500  0.000  0.500
Br  0.500  0.500  0.000

Summary:
The value obtained for the raw formation energy is -996 meV per atom. As for the size of the total moment: 0.000 Bohr magnetons per cell. Its calculated density is 7.9 g/cm³. The total energy comes out at -87.918 eV/cell.

---

> size of the total moment of number 4 (Sc4H2Pb5)?

0.000 Bohr magnetons per cell

---

Please write out number 5 again, unchanged.
Entry from Alexandria via LeMat-Bulk: a geometry-optimized Sm4SnC structure (GGA-PBE).

a b c (Å): 8.659 8.659 6.126
angles (deg): 104.40 104.40 46.44
Positions (direct):
Sm  0.132  0.649  0.410
Sm  0.198  0.198  0.185
Sm  0.250  0.750  0.000
Sm  0.351  0.868  0.590
Sm  0.649  0.132  0.410
Sm  0.750  0.250  0.000
Sm  0.802  0.802  0.815
Sm  0.868  0.351  0.590
Sn  0.306  0.306  0.776
Sn  0.694  0.694  0.224
C  0.057  0.057  0.300
C  0.943  0.943  0.700

Summary:
Its formation energy is -0.24 eV per atom. As for the size of the total moment: 0.001 Bohr magnetons per cell. Its calculated density is 7.6 g/cm³. The total energy comes out at -67.083 eV/cell.

---

> Look up the size of the total moment of the third one.

0.000 Bohr magnetons per cell

---

> What is the formula in the fourth record?

Sc4H2Pb5